Entry 1:
Density functional theory data (GGA-PBE) for a relaxed structure of Tb2Dy5Ho3.

Unit cell a=9.441 b=9.441 c=9.408 alpha=108.21 beta=108.21 gamma=111.90
Element x y z (fractional)
1 Tb 0.013 0.266 0.047
2 Tb 0.266 0.013 0.547
3 Tb 0.734 0.987 0.453
4 Tb 0.987 0.734 0.953
5 Dy 0.149 0.390 0.787
6 Dy 0.231 0.769 0.750
7 Dy 0.275 0.725 0.250
8 Dy 0.390 0.149 0.287
9 Dy 0.471 0.529 0.250
10 Dy 0.529 0.471 0.750
11 Dy 0.610 0.851 0.713
12 Dy 0.725 0.275 0.750
13 Dy 0.769 0.231 0.250
14 Dy 0.851 0.610 0.213
15 Ho 0.023 0.977 0.750
16 Ho 0.221 0.462 0.453
17 Ho 0.462 0.221 0.953
18 Ho 0.538 0.779 0.047
19 Ho 0.779 0.538 0.547
20 Ho 0.977 0.023 0.250

**ρ**: 8.36 g cm⁻³
**Total moment**: 0.000 μB/cell
**ΔE to the lowest computed polymorph**: 0.074 eV per atom
**Total DFT energy (no corrections)**: -4.3973 eV/atom
**Volume**: 32.3 Å³ per atom
**DOS at the Fermi energy**: 39.08 states/eV per cell
**E_form**: 203.2 meV/atom

***

Entry 2:
Density functional theory data (GGA-PBE) for a relaxed structure of TbDy3Cd2.

Unit cell a=3.643 b=3.643 c=12.759 alpha=90.00 beta=90.00 gamma=90.00
Element x y z (fractional)
1 Tb 0.000 0.000 0.000
2 Dy 0.500 0.500 0.193
3 Dy 0.500 0.500 0.500
4 Dy 0.500 0.500 0.807
5 Cd 0.000 0.000 0.348
6 Cd 0.000 0.000 0.652

**ρ**: 8.55 g cm⁻³
**Total moment**: 0.001 μB/cell
**Total DFT energy (no corrections)**: -3.5737 eV/atom
**Volume**: 28.2 Å³ per atom
**DOS at the Fermi energy**: 7.18 states/eV per cell
**E_form**: -195.9 meV/atom